An optimized crystal structure of K3Au3I8, computed with GGA-PBEsol.

a = 7.493 Å, b = 7.493 Å, c = 19.672 Å
α = 97.83°, β = 97.83°, γ = 68.90°
Atoms (fractional coordinates):
1 K 0.031 0.969 0.750
2 K 0.289 0.357 0.929
3 K 0.357 0.289 0.429
4 K 0.643 0.711 0.571
5 K 0.711 0.643 0.071
6 K 0.969 0.031 0.250
7 Au 0.000 0.000 0.000
8 Au 0.000 0.000 0.500
9 Au 0.388 0.417 0.198
10 Au 0.417 0.388 0.698
11 Au 0.583 0.612 0.302
12 Au 0.612 0.583 0.802
13 I 0.110 0.483 0.761
14 I 0.142 0.698 0.574
15 I 0.157 0.241 0.077
16 I 0.241 0.157 0.577
17 I 0.264 0.711 0.127
18 I 0.289 0.736 0.373
19 I 0.302 0.858 0.926
20 I 0.483 0.110 0.261
21 I 0.517 0.890 0.739
22 I 0.698 0.142 0.074
23 I 0.711 0.264 0.627
24 I 0.736 0.289 0.873
25 I 0.759 0.843 0.423
26 I 0.843 0.759 0.923
27 I 0.858 0.302 0.426
28 I 0.890 0.517 0.239

Output
As for the space group: C2/c. Its crystal system is monoclinic. As for the formation energy without anion corrections: -0.647 eV/atom.

=====

An optimized crystal structure of KAuI4, computed with GGA-PBEsol.

a = 7.217 Å, b = 6.864 Å, c = 10.683 Å
α = 90.00°, β = 118.07°, γ = 90.00°
Atoms (fractional coordinates):
1 K 0.000 0.000 0.000
2 K 0.000 0.500 0.500
3 Au 0.500 0.000 0.500
4 Au 0.500 0.500 0.000
5 I 0.094 0.074 0.355
6 I 0.094 0.426 0.855
7 I 0.459 0.710 0.326
8 I 0.459 0.790 0.826
9 I 0.541 0.210 0.174
10 I 0.541 0.290 0.674
11 I 0.906 0.574 0.145
12 I 0.906 0.926 0.645

Output
As for the space group: P2_1/c. Its crystal system is monoclinic. As for the formation energy without anion corrections: -0.511 eV/atom.

=====

- Among the records above, which one has the lowest formation energy without anion corrections?
  K3Au3I8

=====

- Look up the formation energy without anion corrections of the first one.
  -0.647 eV/atom